No. 1
Nd5Er3 PBE-GGA optimized geometry; space-group type = Amm2; energy relative to the lowest polymorph listed for this composition = 0.0 meV per atom; total moment = 0.00 μB/atom; ΔE_f = 17 meV per atom
1.0
10.2012 0.0000 0.0000
0.0000 5.1166 5.1111
0.0000 -5.1166 5.1111
Nd Er
10 6
direct
0.0000 0.0000 0.0000
0.0000 0.0003 0.4954
0.0000 0.4954 0.0003
0.2520 0.7473 0.7473
0.2532 0.2477 0.7474
0.2532 0.7474 0.2477
0.5000 0.4958 0.4958
0.7468 0.2477 0.7474
0.7468 0.7474 0.2477
0.7480 0.7473 0.7473
0.0000 0.4953 0.4953
0.2534 0.2476 0.2476
0.5000 0.9999 0.9999
0.5000 0.9998 0.4946
0.5000 0.4946 0.9998
0.7466 0.2476 0.2476

***

No. 2
SrPr3Cu PBE-GGA optimized geometry; space-group type = Pm-3m; total moment = 0.00 μB/atom; ΔE_f = 137 meV per atom
1.0
5.7305 0.0000 0.0000
0.0000 5.7305 0.0000
0.0000 0.0000 5.7305
Sr Pr Cu
1 3 1
direct
0.0000 0.0000 0.0000
0.0000 0.5000 0.5000
0.5000 0.0000 0.5000
0.5000 0.5000 0.0000
0.5000 0.5000 0.5000

***

No. 3
Tl8In3Bi PBE-GGA optimized geometry; space-group type = P-31m; total moment = 0.00 μB/atom; ΔE_f = 11 meV per atom
1.0
6.0776 0.0000 0.0000
-3.0388 5.2634 0.0000
0.0000 0.0000 11.2812
Tl In Bi
8 3 1
direct
0.0000 0.3323 0.2453
0.0000 0.6677 0.7547
0.3323 0.0000 0.2453
0.3323 0.3323 0.7547
0.3333 0.6667 0.5000
0.6667 0.3333 0.5000
0.6677 0.0000 0.7547
0.6677 0.6677 0.2453
0.0000 0.0000 0.0000
0.3333 0.6667 0.0000
0.6667 0.3333 0.0000
0.0000 0.0000 0.5000

***

No. 4
Th2TcSn PBE-GGA optimized geometry; space-group type = R-3m; energy relative to the lowest polymorph listed for this composition = 283.1 meV per atom; total moment = 0.00 μB/atom; ΔE_f = -82 meV per atom
1.0
2.4429 1.4104 5.1694
-2.4429 1.4104 5.1694
0.0000 -2.8208 5.1694
Th Tc Sn
2 1 1
direct
0.2384 0.2384 0.2384
0.7616 0.7616 0.7616
0.5000 0.5000 0.5000
0.0000 0.0000 0.0000

***

No. 5
Ag3OsBr6F2 PBE-GGA optimized geometry; space-group type = C2/m; total moment = 0.23 μB/atom; DFT total energy = -3.2296 eV per atom
1.0
7.2088 -3.6628 0.0000
7.2088 3.6628 0.0000
-2.5670 0.0000 5.8100
Ag Os Br F
3 1 6 2
direct
0.0000 0.0000 0.0000
0.0000 0.5000 0.5000
0.5000 0.0000 0.5000
0.5000 0.5000 0.5000
0.1492 0.6317 0.2431
0.3683 0.8508 0.7569
0.3960 0.3960 0.7326
0.6040 0.6040 0.2674
0.6317 0.1492 0.2431
0.8508 0.3683 0.7569
0.1521 0.1521 0.2889
0.8479 0.8479 0.7111

***

No. 6
SrZn2CdCu PBE-GGA optimized geometry; space-group type = P4/mmm; total moment = 0.00 μB/atom; ΔE_f = -71 meV per atom
1.0
4.8010 0.0000 0.0000
0.0000 4.8010 0.0000
0.0000 0.0000 5.0169
Sr Zn Cd Cu
1 2 1 1
direct
0.0000 0.0000 0.0000
0.0000 0.5000 0.5000
0.5000 0.0000 0.5000
0.5000 0.5000 0.0000
0.5000 0.5000 0.5000

***

No. 7
TbNd2Zn3 PBE-GGA optimized geometry; space-group type = P-3m1; energy relative to the lowest polymorph listed for this composition = 0.0 meV per atom; total moment = 0.00 μB/atom; ΔE_f = -316 meV per atom
1.0
5.1590 0.0000 0.0000
-2.5795 4.4678 0.0000
0.0000 0.0000 6.3292
Tb Nd Zn
1 2 3
direct
0.0000 0.0000 0.0000
0.3333 0.6667 0.6730
0.6667 0.3333 0.3270
0.0000 0.0000 0.5000
0.3333 0.6667 0.1645
0.6667 0.3333 0.8355

***

No. 8
YMnSb2 PBE-GGA optimized geometry; space-group type = Cmmm; total moment = 0.90 μB/atom; DFT total energy = -6.2264 eV per atom
1.0
2.2077 -2.9207 0.0000
2.2077 2.9207 0.0000
0.0000 0.0000 7.5106
Y Mn Sb
1 1 2
direct
0.0000 0.0000 0.0000
0.0000 0.0000 0.5000
0.5000 0.5000 0.2779
0.5000 0.5000 0.7221